# Pu4CoGe2 | Alexandria via LeMat-Bulk | PBE-GGA | relaxed
data_Pu4CoGe2
_chemical_formula_sum 'Pu4 Co1 Ge2'
_cell_length_a 5.858
_cell_length_b 5.858
_cell_length_c 4.121
_cell_angle_alpha 90.00
_cell_angle_beta 90.00
_cell_angle_gamma 93.38
_symmetry_space_group_name_H-M 'P 1'
_symmetry_Int_Tables_number 1
loop_
_symmetry_equiv_pos_as_xyz
'x,y,z'
loop_
_atom_site_label
_atom_site_type_symbol
_atom_site_fract_x
_atom_site_fract_y
_atom_site_fract_z
Pu1 Pu 0.000 0.500 0.500
Pu2 Pu 0.170 0.170 0.000
Pu3 Pu 0.500 0.000 0.500
Pu4 Pu 0.830 0.830 0.000
Co1 Co 0.500 0.500 0.500
Ge1 Ge 0.329 0.671 0.000
Ge2 Ge 0.671 0.329 0.000
# calculated density	13.88	g/cm3
# E_form	-0.93	eV per formula unit